Record 1
Compound: ZnPdO
Source: the Alexandria database
Functional: GGA-PBE
Structure: optimized geometry

Properties
Spin magnetization   0.00 μB per cell
E_tot   -4.48 eV per atom
Volume   13.4 Å³ per atom
E_form (uncorrected)   -0.670 eV/atom

Unit cell a=3.0354 b=3.0354 c=10.0976 alpha=90.00 beta=90.00 gamma=120.00
Space group P-6m2 (No. 187)
Asymmetric unit:
Zn  0.0000  0.0000  0.2089 (multiplicity 2)
Pd  0.6667  0.3333  0.0000 (multiplicity 1)
Pd  0.6667  0.3333  0.5000 (multiplicity 1)
O  0.6667  0.3333  0.2993 (multiplicity 2)

Record 2
Compound: ZrPdO3
Source: the Alexandria database
Functional: GGA-PBE
Structure: optimized geometry

Properties
Spin magnetization   2.00 μB per cell
E_tot   -7.18 eV per atom
Volume   14.0 Å³ per atom
E_form (uncorrected)   -1.455 eV/atom

Unit cell a=4.121 b=4.121 c=4.121 alpha=90.00 beta=90.00 gamma=90.00
Space group Pm-3m (No. 221)
Asymmetric unit:
Zr  0.000  0.000  0.000 (multiplicity 1)
Pd  0.500  0.500  0.500 (multiplicity 1)
O  0.000  0.000  0.500 (multiplicity 3)

Record 3
Compound: ZrPd3O
Source: the Alexandria database
Functional: GGA-PBE
Structure: optimized geometry

Properties
Spin magnetization   0.00 μB per cell
E_tot   -4.61 eV per atom
Volume   23.7 Å³ per atom
E_form (uncorrected)   1.203 eV/atom

Unit cell a=4.910 b=4.910 c=4.910 alpha=90.00 beta=90.00 gamma=90.00
Space group Pm-3m (No. 221)
Asymmetric unit:
Zr  0.000  0.000  0.000 (multiplicity 1)
Pd  0.000  0.000  0.500 (multiplicity 3)
O  0.500  0.500  0.500 (multiplicity 1)

Record 4
Compound: ZrPd2O6
Source: the Alexandria database
Functional: GGA-PBE
Structure: optimized geometry

Properties
Spin magnetization   0.00 μB per cell
E_tot   -6.66 eV per atom
Volume   11.8 Å³ per atom
E_form (uncorrected)   -1.253 eV/atom

Unit cell a=5.1738 b=5.1738 c=4.5723 alpha=90.00 beta=90.00 gamma=120.00
Space group P-31m (No. 162)
Asymmetric unit:
Zr  0.0000  0.0000  0.0000 (multiplicity 1)
Pd  0.3333  0.6667  0.5000 (multiplicity 2)
O  0.0000  0.3423  0.7380 (multiplicity 6)

Record 5
Compound: Zr4Pd6O19
Source: the Alexandria database
Functional: GGA-PBE
Structure: optimized geometry

Properties
Spin magnetization   1.95 μB per cell
E_tot   -6.84 eV per atom
Volume   11.9 Å³ per atom
E_form (uncorrected)   -1.336 eV/atom

Unit cell a=8.837 b=8.837 c=8.837 alpha=90.00 beta=90.00 gamma=90.00
Space group I23 (No. 197)
Asymmetric unit:
Zr  0.144  0.144  0.144 (multiplicity 8)
Pd  0.000  0.159  0.500 (multiplicity 12)
O  0.000  0.000  0.000 (multiplicity 2)
O  0.000  0.000  0.303 (multiplicity 12)
O  0.052  0.283  0.318 (multiplicity 24)

Record 6
Compound: ZrPd3O
Source: the Alexandria database
Functional: GGA-PBE
Structure: optimized geometry

Properties
Spin magnetization   0.00 μB per cell
E_tot   -6.04 eV per atom
Volume   15.9 Å³ per atom
E_form (uncorrected)   -0.227 eV/atom

Unit cell a=4.296 b=4.296 c=4.296 alpha=90.00 beta=90.00 gamma=90.00
Space group Pm-3m (No. 221)
Asymmetric unit:
Zr  0.000  0.000  0.000 (multiplicity 1)
Pd  0.000  0.500  0.500 (multiplicity 3)
O  0.500  0.500  0.500 (multiplicity 1)

Record 7
Compound: ZrPdO3
Source: the Alexandria database
Functional: GGA-PBE
Structure: optimized geometry

Properties
Spin magnetization   0.00 μB per cell
E_tot   -6.48 eV per atom
Volume   12.1 Å³ per atom
E_form (uncorrected)   -0.757 eV/atom

Unit cell a=3.928 b=3.928 c=3.928 alpha=90.00 beta=90.00 gamma=90.00
Space group Pm-3m (No. 221)
Asymmetric unit:
Zr  0.000  0.000  0.000 (multiplicity 1)
Pd  0.500  0.500  0.500 (multiplicity 1)
O  0.000  0.500  0.500 (multiplicity 3)

Record 8
Compound: Zr6Pd3O
Source: the Alexandria database
Functional: GGA-PBE
Structure: optimized geometry

Properties
Spin magnetization   0.00 μB per cell
E_tot   -7.98 eV per atom
Volume   19.2 Å³ per atom
E_form (uncorrected)   -0.801 eV/atom

Unit cell a=5.835 b=7.324 c=10.325 alpha=90.00 beta=119.28 gamma=90.00
Space group P2_1/c (No. 14)
Asymmetric unit:
Zr  0.069  0.051  0.237 (multiplicity 4)
Zr  0.195  0.720  0.066 (multiplicity 4)
Zr  0.386  0.145  0.049 (multiplicity 4)
Pd  0.323  0.105  0.721 (multiplicity 4)
Pd  0.500  0.000  0.500 (multiplicity 2)
O  0.000  0.000  0.000 (multiplicity 2)

> Which of these has the highest volume?

number 3

> Which of these has the highest E_form (uncorrected)?

number 3